(1)
Density functional theory data (PBE-GGA) for a geometry-optimized NaCoSN2 structure.

a = 4.2011 Å, b = 4.2011 Å, c = 5.3363 Å
α = 90.00°, β = 90.00°, γ = 90.00°
Positions (direct):
1 Na 0.0000 0.0000 0.0000
2 Co 0.5000 0.5000 0.5000
3 S 0.0000 0.0000 0.5000
4 N 0.0000 0.5000 0.0000
5 N 0.5000 0.0000 0.0000

Computed properties:
Uncorrected formation energy in eV/atom: 2.35
Relative energy among the computed polymorphs in meV/atom: 1627
Magnetization in Bohr magnetons per cell: 8.00

---

(2)
Density functional theory data (PBE-GGA) for a geometry-optimized NaCoSeN2 structure.

a = 3.6901 Å, b = 3.6901 Å, c = 5.1857 Å
α = 90.00°, β = 90.00°, γ = 90.00°
Positions (direct):
1 Na 0.0000 0.0000 0.0000
2 Co 0.5000 0.5000 0.5000
3 Se 0.5000 0.5000 0.0000
4 N 0.0000 0.5000 0.5000
5 N 0.5000 0.0000 0.5000

Computed properties:
Uncorrected formation energy in eV/atom: 0.76
Relative energy among the computed polymorphs in meV/atom: 0
Magnetization in Bohr magnetons per cell: 0.06

---

(3)
Density functional theory data (PBE-GGA) for a geometry-optimized NaCoSeN2 structure.

a = 4.0017 Å, b = 4.0017 Å, c = 5.0363 Å
α = 90.00°, β = 90.00°, γ = 90.00°
Positions (direct):
1 Na 0.0000 0.0000 0.0000
2 Co 0.5000 0.5000 0.5000
3 Se 0.0000 0.0000 0.5000
4 N 0.0000 0.5000 0.0000
5 N 0.5000 0.0000 0.0000

Computed properties:
Uncorrected formation energy in eV/atom: 2.62
Relative energy among the computed polymorphs in meV/atom: 1857
Magnetization in Bohr magnetons per cell: 0.00

---

(4)
Density functional theory data (PBE-GGA) for a geometry-optimized NaSrCoN2 structure.

a = 4.0537 Å, b = 4.0537 Å, c = 4.7456 Å
α = 90.00°, β = 90.00°, γ = 90.00°
Positions (direct):
1 Na 0.0000 0.0000 0.0000
2 Sr 0.5000 0.5000 0.0000
3 Co 0.5000 0.5000 0.5000
4 N 0.0000 0.5000 0.5000
5 N 0.5000 0.0000 0.5000

Computed properties:
Uncorrected formation energy in eV/atom: 1.03
Magnetization in Bohr magnetons per cell: 2.41

---

(5)
Density functional theory data (PBE-GGA) for a geometry-optimized NaSrCo2N structure.

a = 3.9097 Å, b = 3.9097 Å, c = 5.0193 Å
α = 90.00°, β = 90.00°, γ = 90.00°
Positions (direct):
1 Na 0.0000 0.0000 0.0000
2 Sr 0.5000 0.5000 0.0000
3 Co 0.0000 0.5000 0.5000
4 Co 0.5000 0.0000 0.5000
5 N 0.5000 0.5000 0.5000

Computed properties:
Uncorrected formation energy in eV/atom: 0.33
Magnetization in Bohr magnetons per cell: 1.16

---

(6)
Density functional theory data (PBE-GGA) for a geometry-optimized NaCoTcN2 structure.

a = 5.7205 Å, b = 4.6787 Å, c = 5.2500 Å
α = 90.00°, β = 100.19°, γ = 90.00°
Positions (direct):
1 Na 0.0000 0.2299 0.2500
2 Na 0.0000 0.7701 0.7500
3 Co 0.5000 0.0000 0.0000
4 Co 0.5000 0.0000 0.5000
5 Tc 0.5000 0.4971 0.7500
6 Tc 0.5000 0.5029 0.2500
7 N 0.2907 0.3033 0.9609
8 N 0.2907 0.6967 0.4609
9 N 0.7093 0.3033 0.5391
10 N 0.7093 0.6967 0.0391

Computed properties:
Uncorrected formation energy in eV/atom: -0.04
Magnetization in Bohr magnetons per cell: 1.72

---

(7)
Density functional theory data (PBE-GGA) for a geometry-optimized NaCoTeN2 structure.

a = 3.7921 Å, b = 3.7921 Å, c = 5.4226 Å
α = 90.00°, β = 90.00°, γ = 90.00°
Positions (direct):
1 Na 0.0000 0.0000 0.0000
2 Co 0.5000 0.5000 0.5000
3 Te 0.5000 0.5000 0.0000
4 N 0.0000 0.5000 0.5000
5 N 0.5000 0.0000 0.5000

Computed properties:
Uncorrected formation energy in eV/atom: 0.96
Relative energy among the computed polymorphs in meV/atom: 0
Magnetization in Bohr magnetons per cell: 0.00

---

(8)
Density functional theory data (PBE-GGA) for a geometry-optimized NaCoTeN2 structure.

a = 4.0903 Å, b = 4.0903 Å, c = 5.7934 Å
α = 90.00°, β = 90.00°, γ = 90.00°
Positions (direct):
1 Na 0.0000 0.0000 0.0000
2 Co 0.5000 0.5000 0.5000
3 Te 0.0000 0.0000 0.5000
4 N 0.0000 0.5000 0.0000
5 N 0.5000 0.0000 0.0000

Computed properties:
Uncorrected formation energy in eV/atom: 2.50
Relative energy among the computed polymorphs in meV/atom: 1546
Magnetization in Bohr magnetons per cell: 2.01

---

What is the magnetization in the second record? 0.06 Bohr magnetons per cell

---

Number 1 is which compound? NaCoSN2

---

Which of these has the highest magnetization? NaCoSN2